DFT (PBE+U) results for a geometry-optimized Dy2ErVO6 structure.

abc: 5.6320 5.6344 5.8883
angles: 61.45 89.97 60.02
With the nearest neighbours (Å) after each atom.
Space group P1 (No. 1)
Inequivalent atoms, fractional coordinates:
1 Dy 0.0000 0.0000 0.0000 [1 per cell]  6 O 2.24-2.37
2 Dy 0.4946 0.0105 0.4839 [1 per cell]  6 O 2.25-2.39
3 Er 0.2172 0.5654 0.6514 [1 per cell]  6 O 2.18-2.32
4 V 0.7095 0.5807 0.1284 [1 per cell]  6 O 2.08-2.12
5 O 0.0743 0.0986 0.3321 [1 per cell]  1 V 2.09, 1 Dy 2.25, 1 Er 2.32
6 O 0.3426 0.0612 0.8454 [1 per cell]  1 V 2.12, 1 Er 2.18, 1 Dy 2.24
7 O 0.4317 0.4942 0.3316 [1 per cell]  1 V 2.08, 1 Dy 2.25, 1 Er 2.32
8 O 0.5964 0.4966 0.8456 [1 per cell]  1 V 2.11, 1 Er 2.18, 1 Dy 2.24
9 O 0.8267 0.7415 0.3319 [1 per cell]  1 V 2.08, 1 Dy 2.25, 1 Er 2.32
10 O 0.9068 0.7501 0.8459 [1 per cell]  1 V 2.11, 1 Er 2.18, 1 Dy 2.25

Theoretical density, g/cm3: 7.86
VASP energy, eV/atom: -8.26